First-principles (PBE) data for a relaxed P2IrRu crystal, as listed in Alexandria via LeMat-Bulk.

abc: 4.887 4.887 4.887
angles: 146.08 117.02 73.50
Atoms (fractional coordinates):
P  0.249  0.249  0.000
P  0.751  0.751  0.000
Ir  0.500  0.000  0.500
Ru  0.000  0.500  0.500

energy above the lowest structure with this stoichiometry = 0.7121 eV per atom
symmetry = Immm
density of states at the Fermi level = 3.5 states/eV/cell
formation enthalpy at 0 K = 0.249 eV per atom



First-principles (PBE) data for a relaxed Nd2GaCo crystal, as listed in Alexandria via LeMat-Bulk.

abc: 9.092 9.092 4.736
angles: 90.00 90.00 150.77
Atoms (fractional coordinates):
Nd  0.080  0.920  0.750
Nd  0.268  0.732  0.250
Nd  0.732  0.268  0.750
Nd  0.920  0.080  0.250
Ga  0.377  0.623  0.750
Ga  0.623  0.377  0.250
Co  0.500  0.500  0.000
Co  0.500  0.500  0.500

symmetry = Cmcm
density of states at the Fermi level = 7.2 states/eV/cell
formation enthalpy at 0 K = -0.253 eV per atom